Density functional theory data (PBE-GGA) for a relaxed structure of GdZrHg2.

Lattice parameters (Å, degrees): 5.1486 5.1486 5.1486 60.00 60.00 60.00
Closest atoms and distances in Å follow each position.
Fractional coordinates of all 4 atoms:
Gd1 0.0000 0.0000 0.0000  8 Hg 3.15
Hg1 0.2500 0.2500 0.2500  4 Zr 3.15, 4 Gd 3.15
Hg2 0.7500 0.7500 0.7500  4 Zr 3.15, 4 Gd 3.15
Zr1 0.5000 0.5000 0.5000  8 Hg 3.15

Calculated values
**ρ**: 11.18 g/cm3
**Total energy**: -6.0655 eV per atom
**ΔH_f (0 K)**: -0.257 eV per atom